--- A ---
PuUPdAu: relaxed, GGA-PBE.

Results
Crystal system: cubic
D(E_F), states/eV per atom: 1.5031
Calculated density, g/cm3: 16.6

Cell lengths 4.8078, 4.8078, 4.8078 Å; angles 60.00, 60.00, 60.00 degrees
Last column: magnetic moment on the atom in μB.
Fractional coordinates of all 4 atoms:
Au 0.7500 0.7500 0.7500  -0.03
U 0.2500 0.2500 0.2500  1.96
Pd 0.0000 0.0000 0.0000  0.00
Pu 0.5000 0.5000 0.5000  5.08

--- B ---
PuUPdAu: relaxed, GGA-PBE.

Results
Crystal system: cubic
D(E_F), states/eV per atom: 1.3817
Calculated density, g/cm3: 16.6

Cell lengths 4.8103, 4.8103, 4.8103 Å; angles 60.00, 60.00, 60.00 degrees
Last column: magnetic moment on the atom in μB.
Fractional coordinates of all 4 atoms:
Pu 0.2500 0.2500 0.2500  5.09
U 0.5000 0.5000 0.5000  1.97
Pd 0.0000 0.0000 0.0000  -0.06
Au 0.7500 0.7500 0.7500  -0.01

Energetically preferred structure: A | next structure: +10 meV/atom

--- A ---
PuZnPdAu: relaxed, GGA-PBE.

Results
Crystal system: cubic
D(E_F), states/eV per atom: 3.0252
Calculated density, g/cm3: 12.8

Cell lengths 4.8287, 4.8287, 4.8287 Å; angles 60.00, 60.00, 60.00 degrees
Last column: magnetic moment on the atom in μB.
Fractional coordinates of all 4 atoms:
Zn 0.7500 0.7500 0.7500  0.01
Au 0.0000 0.0000 0.0000  0.01
Pd 0.5000 0.5000 0.5000  -0.04
Pu 0.2500 0.2500 0.2500  5.16

--- B ---
PuZnPdAu: relaxed, GGA-PBE.

Results
Crystal system: trigonal
D(E_F), states/eV per atom: 3.9408
Calculated density, g/cm3: 12.4

Cell lengths 4.4561, 4.4616, 5.4199 Å; angles 114.27, 90.00, 119.96 degrees
Last column: magnetic moment on the atom in μB.
Fractional coordinates of all 4 atoms:
Pu 0.6199 0.2398 0.5015  5.27
Zn 0.1073 0.2146 0.9640  0.01
Pd 0.4025 0.8050 0.8498  -0.04
Au 0.8366 0.6732 0.1520  0.01

Energetically preferred structure: B | next structure: +73 meV/atom

--- A ---
RbPdAu: relaxed, GGA-PBE.

Results
Crystal system: orthorhombic
D(E_F), states/eV per atom: 0.1282
Calculated density, g/cm3: 9.3

Cell lengths 5.8086, 5.8086, 5.8086 Å; angles 90.55, 119.39, 119.97 degrees
Fractional coordinates of all 6 atoms:
Rb 0.2500 0.1274 0.8774
Rb 0.7500 0.8726 0.1226
Pd 0.5000 0.5000 0.5000
Pd 0.0000 0.5000 0.0000
Au 0.0000 0.5000 0.5000
Au 0.5000 0.0000 0.5000

--- B ---
RbPdAu: relaxed, GGA-PBE.

Results
Crystal system: orthorhombic
D(E_F), states/eV per atom: 0.4309
Calculated density, g/cm3: 7.9

Cell lengths 8.4048, 8.4048, 6.8474 Å; angles 106.06, 106.06, 123.31 degrees
Fractional coordinates of all 12 atoms:
Rb 0.6250 0.3750 0.2500
Rb 0.1250 0.3750 0.7500
Rb 0.6250 0.3750 0.7500
Rb 0.6250 0.8750 0.2500
Au 0.0882 0.9118 0.5000
Au 0.8382 0.1618 0.0000
Au 0.4118 0.5882 0.5000
Au 0.1618 0.8382 0.0000
Pd 0.1252 0.6252 0.2503
Pd 0.1248 0.1248 0.2497
Pd 0.8752 0.8752 0.7503
Pd 0.3748 0.8748 0.7497

--- C ---
RbPdAu: relaxed, GGA-PBE.

Results
Crystal system: tetragonal
D(E_F), states/eV per atom: 0.3590
Calculated density, g/cm3: 7.7

Cell lengths 3.7623, 3.7623, 6.4898 Å; angles 106.85, 106.85, 90.00 degrees
Fractional coordinates of all 3 atoms:
Au 0.7278 0.7278 0.4556
Rb 0.0021 0.0021 0.0042
Pd 0.2701 0.2701 0.5402

Energetically preferred structure: A | next structure: +132 meV/atom

--- A ---
Rb2PdAu2: relaxed, GGA-PBE.

Results
Crystal system: tetragonal
D(E_F), states/eV per atom: 0.4810
Calculated density, g/cm3: 7.2

Cell lengths 3.8678, 3.8678, 10.7433 Å; angles 79.63, 79.63, 90.00 degrees
Fractional coordinates of all 5 atoms:
Au 0.7500 0.2500 0.5000
Au 0.2500 0.7500 0.5000
Rb 0.3960 0.3960 0.2081
Rb 0.6040 0.6040 0.7919
Pd 0.0000 0.0000 0.0000

--- B ---
Rb2PdAu2: relaxed, GGA-PBE.

Results
Crystal system: tetragonal
D(E_F), states/eV per atom: 0.0240
Calculated density, g/cm3: 6.6

Cell lengths 8.9305, 8.9305, 4.2554 Å; angles 90.00, 90.00, 90.00 degrees
Fractional coordinates of all 10 atoms:
Au 0.1560 0.6560 0.5000
Au 0.6560 0.8440 0.5000
Au 0.8440 0.3440 0.5000
Au 0.3440 0.1560 0.5000
Rb 0.3525 0.8525 0.0000
Rb 0.8525 0.6475 0.0000
Rb 0.6475 0.1475 0.0000
Rb 0.1475 0.3525 0.0000
Pd 0.0000 0.0000 0.0000
Pd 0.5000 0.5000 0.0000

--- C ---
Rb2PdAu2: relaxed, GGA-PBE.

Results
Crystal system: tetragonal
D(E_F), states/eV per atom: 0.3467
Calculated density, g/cm3: 6.0

Cell lengths 4.8768, 4.8768, 16.0157 Å; angles 98.76, 98.76, 90.00 degrees
Fractional coordinates of all 10 atoms:
Rb 0.8216 0.8216 0.6433
Rb 0.5716 0.0716 0.1433
Rb 0.9284 0.4284 0.8567
Rb 0.1784 0.1784 0.3567
Pd 0.5000 0.5000 0.0000
Pd 0.2500 0.7500 0.5000
Au 0.4617 0.9617 0.9233
Au 0.7117 0.7117 0.4233
Au 0.2883 0.2883 0.5767
Au 0.0383 0.5383 0.0767

Energetically preferred structure: C | next structure: +75 meV/atom

--- A ---
Rb2PdAu2: relaxed, GGA-PBE.

Results
Crystal system: orthorhombic
D(E_F), states/eV per atom: 0.5223
Calculated density, g/cm3: 7.6

Cell lengths 5.6356, 4.7878, 6.5558 Å; angles 68.58, 64.54, 90.00 degrees
Fractional coordinates of all 5 atoms:
Rb 0.6986 0.1986 0.6027
Rb 0.3014 0.8014 0.3973
Pd 0.0000 0.0000 0.0000
Au 0.2536 0.5000 0.0000
Au 0.7464 0.5000 0.0000

--- B ---
Rb2PdAu2: relaxed, GGA-PBE.

Results
Crystal system: tetragonal
D(E_F), states/eV per atom: 0.3701
Calculated density, g/cm3: 7.9

Cell lengths 7.2156, 7.2156, 5.4418 Å; angles 90.00, 90.00, 90.00 degrees
Fractional coordinates of all 10 atoms:
Au 0.3585 0.8585 0.0000
Au 0.8585 0.6415 0.0000
Au 0.6415 0.1415 0.0000
Au 0.1415 0.3585 0.0000
Rb 0.1749 0.6749 0.5000
Rb 0.6749 0.8251 0.5000
Rb 0.8251 0.3251 0.5000
Rb 0.3251 0.1749 0.5000
Pd 0.0000 0.0000 0.0000
Pd 0.5000 0.5000 0.0000

Energetically preferred structure: A | next structure: +111 meV/atom

--- A ---
Rb2PdAu: relaxed, GGA-PBE.

Results
Crystal system: tetragonal
D(E_F), states/eV per atom: 0.4270
Calculated density, g/cm3: 4.3

Cell lengths 11.8070, 11.8070, 8.7616 Å; angles 47.64, 47.64, 90.00 degrees
Fractional coordinates of all 8 atoms:
Au 0.0000 0.0000 0.0000
Au 0.7500 0.2500 0.5000
Rb 0.4566 0.1250 0.2500
Rb 0.2934 0.6250 0.2500
Rb 0.3750 0.5434 0.7500
Rb 0.8750 0.7066 0.7500
Pd 0.5000 0.5000 0.0000
Pd 0.2500 0.7500 0.5000

--- B ---
Rb2PdAu: relaxed, GGA-PBE.

Results
Crystal system: monoclinic
D(E_F), states/eV per atom: 0.5387
Calculated density, g/cm3: 4.5

Cell lengths 4.6886, 4.6886, 9.6198 Å; angles 75.76, 75.90, 60.00 degrees
Fractional coordinates of all 4 atoms:
Rb 0.8827 0.6473 0.5873
Rb 0.7226 0.4835 0.0714
Pd 0.4692 0.2323 0.8293
Au 0.1359 0.8989 0.8294

--- C ---
Rb2PdAu: relaxed, GGA-PBE.

Results
Crystal system: cubic
D(E_F), states/eV per atom: 1.0205
Calculated density, g/cm3: 5.8

Cell lengths 5.7615, 5.7615, 5.7615 Å; angles 60.00, 60.00, 60.00 degrees
Fractional coordinates of all 4 atoms:
Au 0.5000 0.5000 0.5000
Rb 0.2500 0.2500 0.2500
Rb 0.7500 0.7500 0.7500
Pd 0.0000 0.0000 0.0000

Energetically preferred structure: B | next structure: +113 meV/atom

--- A ---
RePd2Au: relaxed, GGA-PBE.

Results
Crystal system: tetragonal
D(E_F), states/eV per atom: 1.2362
Calculated density, g/cm3: 14.1

Cell lengths 7.1728, 7.1728, 5.7615 Å; angles 51.50, 51.50, 90.00 degrees
Last column: magnetic moment on the atom in μB.
Fractional coordinates of all 8 atoms:
Re 0.5000 0.5000 0.0000  0.90
Re 0.2500 0.7500 0.5000  0.87
Au 0.0000 0.0000 0.0000  0.04
Au 0.7500 0.2500 0.5000  0.04
Pd 0.6016 0.1250 0.2500  0.10
Pd 0.1484 0.6250 0.2500  0.11
Pd 0.3750 0.3984 0.7500  0.10
Pd 0.8750 0.8516 0.7500  0.11

--- B ---
RePd2Au: relaxed, GGA-PBE.

Results
Crystal system: cubic
D(E_F), states/eV per atom: 0.7814
Calculated density, g/cm3: 15.6

Cell lengths 4.4754, 4.4754, 4.4754 Å; angles 60.00, 60.00, 60.00 degrees
Fractional coordinates of all 4 atoms:
Re 0.0000 0.0000 0.0000
Au 0.5000 0.5000 0.5000
Pd 0.2500 0.2500 0.2500
Pd 0.7500 0.7500 0.7500

Energetically preferred structure: B | next structure: +303 meV/atom

--- A ---
RePd3Au: relaxed, GGA-PBE.

Results
Crystal system: cubic
D(E_F), states/eV per atom: 0.7625
Calculated density, g/cm3: 9.9

Cell lengths 4.9013, 4.9013, 4.9013 Å; angles 90.00, 90.00, 90.00 degrees
Last column: magnetic moment on the atom in μB.
Fractional coordinates of all 5 atoms:
Re 0.5000 0.5000 0.5000  3.65
Au 0.0000 0.0000 0.0000  -0.02
Pd 0.0000 0.5000 0.0000  0.04
Pd 0.0000 0.0000 0.5000  -0.06
Pd 0.5000 0.0000 0.0000  0.20

--- B ---
RePd3Au: relaxed, GGA-PBE.

Results
Crystal system: cubic
D(E_F), states/eV per atom: 0.9338
Calculated density, g/cm3: 10.6

Cell lengths 4.7867, 4.7867, 4.7867 Å; angles 90.00, 90.00, 90.00 degrees
Fractional coordinates of all 5 atoms:
Re 0.0000 0.0000 0.0000
Au 0.5000 0.5000 0.5000
Pd 0.0000 0.5000 0.0000
Pd 0.0000 0.0000 0.5000
Pd 0.5000 0.0000 0.0000

Energetically preferred structure: B | next structure: +546 meV/atom